## K2TbCeS4 (PBE-GGA)

Data for a relaxed structure of K2TbCeS4.

Structure (POSCAR):
```
K2TbCeS4
1.0
-0.2440 -3.3023 -2.4962
4.6050 3.1038 -4.5562
4.1053 -4.1506 5.0898
Ce S Tb K
1 4 1 2
Direct
0.0000 0.0000 0.0000
0.0000 0.7281 0.2030
0.0000 0.2719 0.7970
0.5000 0.7583 0.7948
0.5000 0.2417 0.2052
0.5000 0.5000 0.0000
0.5000 0.0000 0.5000
0.0000 0.5000 0.5000
```

## Properties
The crystal system is monoclinic. The calculation puts the energy relative to the elements, uncorrected at -1833 meV/atom. For the final energy, the calculation gives -5.492 eV/atom.

---

## K2SrCa (PBE-GGA)

Data for a relaxed structure of K2SrCa.

Structure (POSCAR):
```
K2SrCa
1.0
-5.9725 2.9654 -4.3258
-1.2787 -1.2963 7.7370
1.2850 3.8352 0.8549
Sr K Ca
1 2 1
Direct
0.5000 0.0000 0.5000
0.0000 0.0000 0.0000
0.5000 0.5000 0.0000
0.0000 0.5000 0.5000
```

## Properties
The crystal system is orthorhombic. For the final energy, the calculation gives -1.301 eV/atom. The energy of formation from the pure elements is 0.68 eV per formula unit.

---

## WSe2Cl (PBE-GGA)

Data for a relaxed structure of WSe2Cl.

Structure (POSCAR):
```
WSe2Cl
1.0
-1.9463 2.1199 -0.7780
-2.2550 -1.8781 0.5241
-0.3826 3.0313 9.2169
Se W Cl
2 1 1
Direct
0.5000 0.5000 0.3363
0.0000 0.0000 0.0035
0.0000 0.0000 0.4976
0.5000 0.5000 0.6626
```

## Properties
The crystal system is tetragonal. The calculation puts the energy relative to the elements, uncorrected at 102 meV/atom. As for the energy above the lowest structure with this stoichiometry: 0.427 eV/atom. For the final energy, the calculation gives -5.340 eV/atom.

---

## K2In2Ag15 (PBE-GGA)

Data for a relaxed structure of K2In2Ag15.

Structure (POSCAR):
```
K2In2Ag15
1.0
7.4606 -0.0637 -0.0568
0.9047 7.4059 -0.0568
0.9047 0.7940 7.3634
Ag K In
15 2 2
Direct
0.1534 0.6575 0.6575
0.0000 0.6932 0.3068
0.3068 0.0000 0.6932
0.3068 0.6932 0.0000
0.5000 0.0000 0.0000
0.6932 0.0000 0.3068
0.8466 0.3425 0.3425
0.6932 0.3068 0.0000
0.0000 0.0000 0.5000
0.3425 0.8466 0.3425
0.0000 0.3068 0.6932
0.3425 0.3425 0.8466
0.6575 0.6575 0.1534
0.6575 0.1534 0.6575
0.0000 0.5000 0.0000
0.3528 0.3528 0.3528
0.6472 0.6472 0.6472
0.1035 0.1035 0.1035
0.8965 0.8965 0.8965
```

## Properties
The crystal system is trigonal. For the final energy, the calculation gives -2.649 eV/atom. The energy of formation from the pure elements is 0.11 eV per formula unit.

---

## La2PmDy3Y6 (PBE-GGA)

Data for a relaxed structure of La2PmDy3Y6.

Structure (POSCAR):
```
La2PmDy3Y6
1.0
6.2444 -0.0001 0.0038
-3.1208 5.4087 0.0038
-1.0455 -1.8102 11.6991
Y Dy La Pm
6 3 2 1
Direct
0.7524 0.7524 0.2546
0.4179 0.0851 0.2546
0.0851 0.4179 0.2546
0.2476 0.2476 0.7454
0.9149 0.5821 0.7454
0.5821 0.9149 0.7454
0.1666 0.8334 0.5000
0.8334 0.1666 0.5000
0.5000 0.5000 0.5000
0.6666 0.3334 0.0000
0.3334 0.6666 0.0000
0.0000 0.0000 0.0000
```

## Properties
The crystal system is monoclinic. For the final energy, the calculation gives -5.580 eV/atom. The energy of formation from the pure elements is 0.24 eV per formula unit.

---

## ZrAs2AuBr (PBE-GGA)

Data for a relaxed structure of ZrAs2AuBr.

Structure (POSCAR):
```
ZrAs2AuBr
1.0
5.2680 0.0000 0.0000
0.0000 5.2680 0.0000
0.0000 0.0000 5.1688
As Zr Br Au
2 1 1 1
Direct
0.0000 0.5000 0.0000
0.5000 0.0000 0.0000
0.0000 0.0000 0.0000
0.0000 0.0000 0.5000
0.5000 0.5000 0.5000
```

## Properties
The crystal system is tetragonal. The calculation puts the energy relative to the elements, uncorrected at 237 meV/atom. As for the energy above the lowest structure with this stoichiometry: 0.000 eV/atom. For the final energy, the calculation gives -4.322 eV/atom.

---

## LaNbNiC2 (PBE-GGA)

Data for a relaxed structure of LaNbNiC2.

Structure (POSCAR):
```
LaNbNiC2
1.0
4.0349 0.0000 0.0000
0.0000 4.7066 0.0000
0.0000 0.0000 4.0349
La Ni C Nb
1 1 2 1
Direct
0.0000 0.5000 0.0000
0.0000 0.0000 0.0000
0.5000 0.0000 0.0000
0.0000 0.0000 0.5000
0.5000 0.5000 0.5000
```

## Properties
The crystal system is tetragonal. For the final energy, the calculation gives -6.070 eV/atom. The energy of formation from the pure elements is 8.88 eV per formula unit.

---

## K2NaGa3Ag12 (PBE-GGA)

Data for a relaxed structure of K2NaGa3Ag12.

Structure (POSCAR):
```
K2NaGa3Ag12
1.0
7.0163 -1.6455 -1.1671
2.0342 6.9136 -1.1671
2.0342 1.1841 6.9107
Ag K Ga Na
12 2 3 1
Direct
0.6218 0.6218 0.0648
0.8104 0.8104 0.2978
0.2978 0.8104 0.8104
0.8104 0.2978 0.8104
0.0648 0.6218 0.6218
0.1896 0.1896 0.7022
0.6218 0.0648 0.6218
0.3782 0.9352 0.3782
0.7022 0.1896 0.1896
0.1896 0.7022 0.1896
0.3782 0.3782 0.9352
0.9352 0.3782 0.3782
0.6182 0.6182 0.6182
0.3818 0.3818 0.3818
0.5000 0.0000 0.0000
0.0000 0.0000 0.5000
0.0000 0.5000 0.0000
0.0000 0.0000 0.0000
```

## Properties
The crystal system is trigonal. For the final energy, the calculation gives -2.447 eV/atom. The energy of formation from the pure elements is 2.77 eV per formula unit.

---

## AlInTc2 (PBE-GGA)

Data for a relaxed structure of AlInTc2.

Structure (POSCAR):
```
AlInTc2
1.0
4.0652 0.0000 0.0000
0.0000 2.8299 0.0271
0.0000 2.1341 5.6983
In Tc Al
1 2 1
Direct
0.5000 0.7500 0.7500
0.0000 0.4285 0.4653
0.0000 0.0715 0.0347
0.5000 0.2500 0.2500
```

## Properties
The crystal system is monoclinic. As for the energy above the lowest structure with this stoichiometry: 0.211 eV/atom. For the final energy, the calculation gives -6.650 eV/atom. The energy of formation from the pure elements is 0.61 eV per formula unit.

---

## NaScB3 (PBE-GGA)

Data for a relaxed structure of NaScB3.

Structure (POSCAR):
```
NaScB3
1.0
4.5595 0.0000 0.0000
0.0000 4.5595 0.0000
0.0000 0.0000 4.5595
B Na Sc
3 1 1
Direct
0.0000 0.5000 0.0000
0.0000 0.0000 0.5000
0.5000 0.0000 0.0000
0.5000 0.5000 0.5000
0.0000 0.0000 0.0000
```

## Properties
The crystal system is cubic. As for the energy above the lowest structure with this stoichiometry: 0.000 eV/atom. For the final energy, the calculation gives -3.787 eV/atom. The energy of formation from the pure elements is 8.75 eV per formula unit.

---

## ZnRh2Br (PBE-GGA)

Data for a relaxed structure of ZnRh2Br.

Structure (POSCAR):
```
ZnRh2Br
1.0
-0.3420 -2.5308 -2.3454
-0.0859 -1.9801 2.1492
-7.2524 -1.3135 2.4750
Rh Br Zn
2 1 1
Direct
0.5000 0.1323 0.2427
0.0000 0.8295 0.0456
0.5000 0.0870 0.7881
0.0000 0.4512 0.4236
```

## Properties
The crystal system is orthorhombic. The calculation puts the energy relative to the elements, uncorrected at 109 meV/atom. As for the energy above the lowest structure with this stoichiometry: 0.000 eV/atom. For the final energy, the calculation gives -4.303 eV/atom.

---

## Ta2ZnP (PBE-GGA)

Data for a relaxed structure of Ta2ZnP.

Structure (POSCAR):
```
Ta2ZnP
1.0
-2.8353 -0.0003 1.3349
-0.7610 -2.5742 -1.6171
2.3716 -3.8650 5.0365
P Ta Zn
1 2 1
Direct
0.5000 0.5000 0.7748
0.0000 0.0000 0.9522
0.5000 0.5000 0.2547
0.0000 0.0000 0.5183
```

## Properties
The crystal system is tetragonal. For the final energy, the calculation gives -7.631 eV/atom. The energy of formation from the pure elements is -0.14 eV per formula unit.